# Sr3TaCoO7 PBE+U optimized geometry
# Magnetic moment (μB/f.u.): 3.929
# Crystal system: tetragonal
# Energy relative to the lowest polymorph listed for this composition (meV per atom): 5
data_Sr3TaCoO7
_space_group_name_H-M_alt 'I 41 c d'
_space_group_IT_number 110
_space_group_name_Hall 'I 4bw -2c'
_cell_length_a 5.5940
_cell_length_b 5.5940
_cell_length_c 43.3098
_cell_angle_alpha 90.00
_cell_angle_beta 90.00
_cell_angle_gamma 90.00
loop_
_atom_site_label
_atom_site_type_symbol
_atom_site_fract_x
_atom_site_fract_y
_atom_site_fract_z
Sr1 Sr 0.0000 0.0000 0.0000
Sr2 Sr 0.0000 0.0000 0.0821
Sr3 Sr 0.0000 0.0000 0.1879
Ta1 Ta 0.0000 0.0000 0.3914
Co1 Co 0.0000 0.0000 0.2883
O1 O 0.0000 0.0000 0.2423
O2 O 0.0000 0.0000 0.3471
O3 O 0.0000 0.0000 0.4396
O4 O 0.2358 0.2358 0.2934
O5 O 0.2497 0.2498 0.1440